(1)
Zr3Fe4As4: optimized geometry, PBE.

Its crystal system is monoclinic.

The structure belongs to space group Pm (No. 6); the cell edges are 6.511, 3.759 and 7.475 Å and the angles 90.00°, 90.63° and 90.00°. Symmetry generates all atoms from Zr at (0.000, 0.000, 0.000), Zr at (0.076, 0.500, 0.643), Zr at (0.565, 0.500, 0.489), Fe at (0.135, 0.500, 0.268), Fe at (0.397, 0.000, 0.770), Fe at (0.658, 0.500, 0.868), Fe at (0.903, 0.000, 0.367), As at (0.277, 0.000, 0.429), As at (0.309, 0.500, 0.973), As at (0.763, 0.500, 0.180) and As at (0.774, 0.000, 0.685).



(2)
Zr3FeAs: optimized geometry, PBE.

Its crystal system is orthorhombic.

The structure belongs to space group Cmcm (No. 63); the cell edges are 3.504, 12.085 and 9.564 Å and the angles 90.00°, 90.00° and 90.00°. Symmetry generates all atoms from Zr at (0.000, 0.092, 0.250), Zr at (0.000, 0.345, 0.079), Fe at (0.000, 0.252, 0.750) and As at (0.000, 0.000, 0.000).



Final energy (computed, eV per atom): -7.6464; -8.1326